[1]
The following is a DFT calculation (PBE) of a relaxed structure of Cs3CaCe2S6.

Cell and atoms, written as POSCAR:
```
Cs3CaCe2S6
1.0
3.6646 -6.3469 0.0000
3.6646 6.3469 0.0000
-2.4386 0.0000 8.0274
Cs Ca Ce S
3 1 2 6
Cartesian
0.0000 0.0000 0.0000
3.6646 2.0691 0.0000
3.6646 -2.0691 0.0000
2.4453 0.0000 4.0137
2.4453 4.2284 4.0137
2.4453 -4.2284 4.0137
1.1848 2.1824 2.5406
-0.0707 0.0000 5.4728
1.1848 -2.1824 2.5406
3.7058 2.1824 5.4868
4.9613 0.0000 2.5547
3.7058 -2.1824 5.4868
```

=====

[2]
The following is a DFT calculation (PBE) of a relaxed structure of Cs3Ca2CeS6.

Cell and atoms, written as POSCAR:
```
Cs3Ca2CeS6
1.0
3.6688 -6.3521 0.0000
3.6688 6.3521 0.0000
-2.4378 0.0000 7.9669
Cs Ca Ce S
3 2 1 6
Cartesian
0.0000 0.0000 0.0000
3.6688 2.1755 0.0000
3.6688 -2.1755 0.0000
2.4499 4.2428 3.9834
2.4499 -4.2428 3.9834
2.4499 0.0000 3.9834
1.2735 2.0350 2.5369
0.1074 0.0000 5.4499
1.2735 -2.0350 2.5369
3.6263 2.0350 5.4300
4.7925 0.0000 2.5170
3.6263 -2.0350 5.4300
```

=====

Asked for formation energy without anion corrections across the records above, the calculation gives -1.75, -1.55 eV/atom in order.
Asked for final energy across the records above, the calculation gives -5.180, -4.653 eV per atom in order.